PBE Pr2NdDy2Ho2, relaxed; spin magnetization = 0.000 μB per formula unit; N(E_F) = 12.1 states/eV/cell; volume = 34.07 Å³ per atom; energy relative to the elements = 3.4 kcal/mol of atoms
1.0
3.516 0.000 0.000
-1.758 9.092 -1.040
0.000 -3.289 7.836
Pr Nd Dy Ho
2 1 2 2
direct
0.647 0.294 0.912
0.353 0.706 0.088
0.000 0.000 0.500
0.789 0.578 0.378
0.211 0.422 0.622
0.429 0.859 0.765
0.571 0.141 0.235